Entry from Alexandria via LeMat-Bulk: a PBEsol-optimized structure of CdIn (meta-GGA SCAN).

Geometry as POSCAR:
```
CdIn
1.0
4.571 0.000 0.000
0.000 4.571 0.000
-2.285 -2.285 4.432
In Cd
2 2
Direct
0.750 0.250 0.500
0.500 0.500 0.000
0.250 0.750 0.500
0.000 0.000 0.000
```

Calculated values
For the energy relative to the elements, the calculation gives 6.7 kJ per mole of atoms. For the total energy, the calculation gives -31.831 eV per atom.